No. 1
The following is a DFT calculation (PBE) of crystalline DyPuTaN3 at its relaxed geometry.

Properties
uncorrected formation energy: -1333 meV/atom
total magnetic moment: 9.527 Bohr magnetons per cell
SG: P2_1/m

a b c (Å): 5.752 3.316 8.661
angles (deg): 90.00 102.72 90.00
Positions (direct):
Dy1 0.150 0.250 0.184
Dy2 0.850 0.750 0.816
Pu1 0.265 0.750 0.546
Pu2 0.735 0.250 0.454
Ta1 0.369 0.250 0.867
Ta2 0.631 0.750 0.133
N1 0.059 0.250 0.685
N2 0.252 0.750 0.990
N3 0.456 0.750 0.329
N4 0.544 0.250 0.671
N5 0.748 0.250 0.010
N6 0.941 0.750 0.315


No. 2
The following is a DFT calculation (PBE) of crystalline Dy2Pu3TaN6 at its relaxed geometry.

Properties
uncorrected formation energy: -1394 meV/atom
total magnetic moment: 14.626 Bohr magnetons per cell
SG: C2/m

a b c (Å): 5.905 5.905 5.876
angles (deg): 99.62 99.62 119.93
Positions (direct):
Dy1 0.167 0.833 0.000
Dy2 0.833 0.167 0.000
Pu1 0.000 0.000 0.500
Pu2 0.332 0.668 0.500
Pu3 0.668 0.332 0.500
Ta1 0.500 0.500 0.000
N1 0.115 0.421 0.764
N2 0.272 0.272 0.240
N3 0.421 0.115 0.764
N4 0.579 0.885 0.236
N5 0.728 0.728 0.760
N6 0.885 0.579 0.236


No. 3
The following is a DFT calculation (PBE) of crystalline TbDyPuN3 at its relaxed geometry.

Properties
uncorrected formation energy: -1072 meV/atom
total magnetic moment: 5.937 Bohr magnetons per cell
SG: P2_1/m

a b c (Å): 7.041 3.517 8.755
angles (deg): 90.00 94.04 90.00
Positions (direct):
Tb1 0.151 0.250 0.125
Tb2 0.849 0.750 0.875
Dy1 0.383 0.750 0.849
Dy2 0.617 0.250 0.151
Pu1 0.075 0.250 0.599
Pu2 0.925 0.750 0.401
N1 0.106 0.250 0.855
N2 0.238 0.750 0.599
N3 0.380 0.750 0.118
N4 0.620 0.250 0.882
N5 0.762 0.250 0.401
N6 0.894 0.750 0.145


No. 4
The following is a DFT calculation (PBE) of crystalline DyPu2ThN4 at its relaxed geometry.

Properties
uncorrected formation energy: -1433 meV/atom
total magnetic moment: 9.696 Bohr magnetons per cell
SG: P2/m

a b c (Å): 6.071 3.543 6.133
angles (deg): 90.00 109.54 90.00
Positions (direct):
Dy1 0.000 0.000 0.000
Pu1 0.500 0.000 0.500
Pu2 0.500 0.500 0.000
Th1 0.000 0.500 0.500
N1 0.258 0.500 0.249
N2 0.259 0.000 0.759
N3 0.741 0.000 0.241
N4 0.742 0.500 0.751


Copy entry 2 word for word.
The following is a DFT calculation (PBE) of crystalline Dy2Pu3TaN6 at its relaxed geometry.

Properties
uncorrected formation energy: -1394 meV/atom
total magnetic moment: 14.626 Bohr magnetons per cell
SG: C2/m

a b c (Å): 5.905 5.905 5.876
angles (deg): 99.62 99.62 119.93
Positions (direct):
Dy1 0.167 0.833 0.000
Dy2 0.833 0.167 0.000
Pu1 0.000 0.000 0.500
Pu2 0.332 0.668 0.500
Pu3 0.668 0.332 0.500
Ta1 0.500 0.500 0.000
N1 0.115 0.421 0.764
N2 0.272 0.272 0.240
N3 0.421 0.115 0.764
N4 0.579 0.885 0.236
N5 0.728 0.728 0.760
N6 0.885 0.579 0.236


- What is the formula in the third record?
  TbDyPuN3